A plane-wave DFT calculation with GGA-PBE was carried out for crystalline FeBiS3 at its relaxed geometry.

Results
Calculated volume: 137 Å³ per cell
Calculated total energy: -3.962 eV/atom
Total magnetic moment: 0.84 μB per atom
Uncorrected formation energy: 983 meV per atom
SG: No. 221
Excess energy over the best structure of this formula in the dataset: 0.917 eV per atom

Cell: 5.1536 5.1536 5.1536 Å, 90.00 90.00 90.00°
With the nearest neighbours (Å) after each atom.
Atoms (fractional coordinates):
S  0.0000  0.0000  0.5000  2 Bi 2.58
S  0.0000  0.5000  0.0000  2 Bi 2.58
S  0.5000  0.0000  0.0000  2 Bi 2.58
Fe  0.5000  0.5000  0.5000  12 S 3.64
Bi  0.0000  0.0000  0.0000  6 S 2.58

A plane-wave DFT calculation with GGA-PBE was carried out for crystalline Fe3BiS at its relaxed geometry.

Results
Calculated volume: 128 Å³ per cell
Calculated total energy: -5.051 eV/atom
Total magnetic moment: 2.20 μB per atom
Uncorrected formation energy: 1628 meV per atom
SG: No. 221
Excess energy over the best structure of this formula in the dataset: 1.341 eV per atom

Cell: 5.0402 5.0402 5.0402 Å, 90.00 90.00 90.00°
With the nearest neighbours (Å) after each atom.
Atoms (fractional coordinates):
S  0.5000  0.5000  0.5000  12 Fe 3.56
Fe  0.0000  0.5000  0.0000  2 Bi 2.52
Fe  0.5000  0.0000  0.0000  2 Bi 2.52
Fe  0.0000  0.0000  0.5000  2 Bi 2.52
Bi  0.0000  0.0000  0.0000  6 Fe 2.52

A plane-wave DFT calculation with GGA-PBE was carried out for crystalline FeBiS2 at its relaxed geometry.

Results
Calculated volume: 80 Å³ per cell
Calculated total energy: -5.413 eV/atom
Total magnetic moment: 0.24 μB per atom
Uncorrected formation energy: -263 meV per atom
SG: No. 166

Cell: 8.2396 8.2396 8.2396 Å, 23.83 23.83 23.83°
With the nearest neighbours (Å) after each atom.
Atoms (fractional coordinates):
Fe  0.5000  0.5000  0.5000  6 S 2.28
S  0.8815  0.8815  0.8815  3 Fe 2.28
S  0.1185  0.1185  0.1185  3 Fe 2.28
Bi  0.0000  0.0000  0.0000  2 S 2.84

A plane-wave DFT calculation with GGA-PBE was carried out for crystalline FeBiS2 at its relaxed geometry.

Results
Calculated volume: 108 Å³ per cell
Calculated total energy: -5.011 eV/atom
Total magnetic moment: 0.75 μB per atom
Uncorrected formation energy: 139 meV per atom
SG: No. 166

Cell: 7.7765 7.7765 7.7765 Å, 30.66 30.66 30.66°
With the nearest neighbours (Å) after each atom.
Atoms (fractional coordinates):
Bi  0.5000  0.5000  0.5000  6 S 2.83
Fe  0.0000  0.0000  0.0000  2 S 2.17
S  0.9024  0.9024  0.9024  1 Fe 2.17
S  0.0976  0.0976  0.0976  1 Fe 2.17

A plane-wave DFT calculation with GGA-PBE was carried out for crystalline FeBi3S at its relaxed geometry.

Results
Calculated volume: 154 Å³ per cell
Calculated total energy: -3.938 eV/atom
Total magnetic moment: 0.62 μB per atom
Uncorrected formation energy: 908 meV per atom
SG: No. 221
Excess energy over the best structure of this formula in the dataset: 0.444 eV per atom

Cell: 5.3545 5.3545 5.3545 Å, 90.00 90.00 90.00°
With the nearest neighbours (Å) after each atom.
Atoms (fractional coordinates):
Bi  0.0000  0.0000  0.5000  2 S 2.68
Bi  0.5000  0.0000  0.0000  2 S 2.68
Bi  0.0000  0.5000  0.0000  2 S 2.68
Fe  0.5000  0.5000  0.5000  12 Bi 3.79
S  0.0000  0.0000  0.0000  6 Bi 2.68

A plane-wave DFT calculation with GGA-PBE was carried out for crystalline FeBi3S at its relaxed geometry.

Results
Calculated volume: 132 Å³ per cell
Calculated total energy: -4.383 eV/atom
Total magnetic moment: 0.28 μB per atom
Uncorrected formation energy: 464 meV per atom
SG: No. 221
Excess energy over the best structure of this formula in the dataset: 0.000 eV per atom

Cell: 5.0979 5.0979 5.0979 Å, 90.00 90.00 90.00°
With the nearest neighbours (Å) after each atom.
Atoms (fractional coordinates):
Bi  0.5000  0.0000  0.0000  2 Fe 2.55
Bi  0.0000  0.5000  0.0000  2 Fe 2.55
Bi  0.0000  0.0000  0.5000  2 Fe 2.55
S  0.5000  0.5000  0.5000  12 Bi 3.60
Fe  0.0000  0.0000  0.0000  6 Bi 2.55

A plane-wave DFT calculation with GGA-PBE was carried out for crystalline FeBiS3 at its relaxed geometry.

Results
Calculated volume: 95 Å³ per cell
Calculated total energy: -4.880 eV/atom
Total magnetic moment: 0.62 μB per atom
Uncorrected formation energy: 65 meV per atom
SG: No. 221
Excess energy over the best structure of this formula in the dataset: 0.000 eV per atom

Cell: 4.5692 4.5692 4.5692 Å, 90.00 90.00 90.00°
With the nearest neighbours (Å) after each atom.
Atoms (fractional coordinates):
Fe  0.0000  0.0000  0.0000  6 S 2.28
S  0.0000  0.0000  0.5000  2 Fe 2.28
S  0.5000  0.0000  0.0000  2 Fe 2.28
S  0.0000  0.5000  0.0000  2 Fe 2.28
Bi  0.5000  0.5000  0.5000  12 S 3.23

A plane-wave DFT calculation with GGA-PBE was carried out for crystalline FeBi2S at its relaxed geometry.

Results
Calculated volume: 230 Å³ per cell
Calculated total energy: -4.588 eV/atom
Total magnetic moment: 0.00 μB per atom
Uncorrected formation energy: 500 meV per atom
SG: No. 122

Cell: 6.1682 6.1682 7.4480 Å, 65.54 65.54 90.00°
With the nearest neighbours (Å) after each atom.
Atoms (fractional coordinates):
Bi  0.0767  0.6250  0.2500  2 Fe 2.49
Bi  0.3750  0.3267  0.7500  2 Fe 2.49
Bi  0.8750  0.9233  0.7500  2 Fe 2.49
Bi  0.6733  0.1250  0.2500  2 Fe 2.49
Fe  0.0000  0.0000  0.0000  4 Bi 2.49
Fe  0.7500  0.2500  0.5000  4 Bi 2.49
S  0.2500  0.7500  0.5000  4 Bi 2.84
S  0.5000  0.5000  0.0000  4 Bi 2.84